1.
{"formula": "PmZrTlHg", "functional": "PBE", "state": "optimized geometry", "total_magnetization_mub_per_fu": 0.00, "ef_mev_per_atom": -197, "vol_a3_per_cell": 101.4, "lattice_angstrom": [[-5.055, 1.247, 0.529], [-2.655, -1.572, 4.227], [-1.470, 3.488, 3.614]], "species": ["Tl", "Zr", "Hg", "Pm"], "frac_coords": [[0.000, 0.000, 0.000], [0.250, 0.250, 0.250], [0.500, 0.500, 0.500], [0.750, 0.750, 0.750]]}

2.
{"formula": "AlCd2Se", "functional": "PBE", "state": "optimized geometry", "total_magnetization_mub_per_fu": 0.19, "vol_a3_per_cell": 85.2, "formation_energy_uncorrected_ev_per_atom": 0.1527, "lattice_angstrom": [[-3.816, 0.168, 10.114], [-5.327, -2.275, 9.129], [-2.500, -2.568, 10.200]], "species": ["Al", "Cd", "Se", "Cd"], "frac_coords": [[0.750, 0.750, 0.750], [0.005, 0.005, 0.005], [0.250, 0.250, 0.250], [0.495, 0.495, 0.495]]}

3.
{"formula": "Pr2Tm6Sc3", "functional": "PBE", "state": "optimized geometry", "total_magnetization_mub_per_fu": 0.00, "ef_mev_per_atom": 199, "vol_a3_per_cell": 344.7, "lattice_angstrom": [[5.698, 0.000, 1.705], [2.849, 5.159, 0.853], [-1.298, 0.000, 11.336]], "species": ["Sc", "Tm", "Sc", "Tm", "Tm", "Sc", "Tm", "Pr", "Pr", "Tm", "Tm"], "frac_coords": [[0.334, 0.331, 0.000], [0.079, 0.334, 0.763], [0.000, 0.000, 0.000], [0.413, 0.666, 0.763], [0.587, 0.334, 0.237], [0.666, 0.669, 0.000], [0.746, 0.000, 0.762], [0.833, 0.333, 0.500], [0.167, 0.667, 0.500], [0.254, 0.000, 0.238], [0.921, 0.666, 0.237]]}

Number 1: Fermi-level density of states 4.419 states/eV per cell, energy -16.75 eV per cell. Number 2: Fermi-level density of states 2.091 states/eV per cell, energy -8.45 eV per cell. Number 3: Fermi-level density of states 18.830 states/eV per cell, energy -53.19 eV per cell.